(1)
DFT (PBE) results for a geometry-optimized Ca2TbTe4Pb structure.

For the mass density, the calculation gives 6.1 g/cm3. The value obtained for the formation energy (no corrections) is -1.20 eV per atom.

The space group is P2/m (No. 10) and the conventional cell measures 7.8056, 4.4824 and 7.8692 Å, with angles of 90.00, 109.29 and 90.00 degrees. The asymmetric unit holds Ca at (0.0000, 0.0000, 0.0000), Ca at (0.0000, 0.5000, 0.5000), Tb at (0.5000, 0.0000, 0.5000), Te at (0.2480, 0.0000, 0.7417), Te at (0.2524, 0.5000, 0.2564) and Pb at (0.5000, 0.5000, 0.0000).

(2)
DFT (PBE) results for a geometry-optimized Nd4RhCCl2 structure.

For the mass density, the calculation gives 6.4 g/cm3. The value obtained for the formation energy (no corrections) is -1.00 eV per atom.

The space group is P2/m (No. 10) and the conventional cell measures 7.1018, 3.9006 and 7.4991 Å, with angles of 90.00, 106.37 and 90.00 degrees. The asymmetric unit holds Nd at (0.2169, 0.0000, 0.1916), Nd at (0.2377, 0.5000, 0.7980), Rh at (0.5000, 0.0000, 0.0000), C at (0.0000, 0.5000, 0.0000), Cl at (0.0000, 0.0000, 0.5000) and Cl at (0.5000, 0.5000, 0.5000).

(3)
DFT (PBE) results for a geometry-optimized AuCl2 structure.

For the mass density, the calculation gives 6.6 g/cm3. The value obtained for the formation energy (no corrections) is 0.23 eV per atom.

The space group is P4/mmm (No. 123) and the conventional cell measures 4.5547, 4.5547 and 3.2420 Å, with angles of 90.00, 90.00 and 90.00 degrees. The asymmetric unit holds Au at (0.0000, 0.0000, 0.0000) and Cl at (0.0000, 0.5000, 0.5000).

(4)
DFT (PBE) results for a geometry-optimized Y4Ho5Zr structure.

For the mass density, the calculation gives 6.6 g/cm3. For the formation energy, the calculation gives 0.24 eV per atom. The energy above the most stable polymorph in this dataset comes out at 0.181 eV/atom.

The space group is I4mm (No. 107) and the conventional cell measures 10.3893, 10.3893 and 5.8896 Å, with angles of 90.00, 90.00 and 90.00 degrees. The asymmetric unit holds Y at (0.0000, 0.3192, 0.0000), Ho at (0.0000, 0.0000, 0.7661), Ho at (0.1836, 0.1836, 0.4722) and Zr at (0.0000, 0.0000, 0.2273).

(5)
DFT (PBE) results for a geometry-optimized TiAl2CuSi structure.

For the mass density, the calculation gives 2.9 g/cm3. The value obtained for the formation energy (no corrections) is 1.16 eV per atom.

The space group is P4/mmm (No. 123) and the conventional cell measures 4.9503, 4.9503 and 4.5811 Å, with angles of 90.00, 90.00 and 90.00 degrees. The asymmetric unit holds Ti at (0.0000, 0.0000, 0.0000), Al at (0.0000, 0.5000, 0.0000), Cu at (0.0000, 0.0000, 0.5000) and Si at (0.5000, 0.5000, 0.5000).

(6)
DFT (PBE) results for a geometry-optimized Sm3Ho7Th structure.

For the mass density, the calculation gives 8.2 g/cm3. For the formation energy, the calculation gives 0.18 eV per atom. The energy above the most stable polymorph in this dataset comes out at 0.000 eV/atom.

The space group is P3m1 (No. 156) and the conventional cell measures 7.0345, 7.0345 and 8.6856 Å, with angles of 90.00, 90.00 and 120.00 degrees. The asymmetric unit holds Sm at (0.0035, 0.5018, 0.0000), Ho at (0.1689, 0.3378, 0.6594), Ho at (0.3347, 0.1673, 0.3349), Ho at (0.6667, 0.3333, 0.6617) and Th at (0.3333, 0.6667, 0.3351).

(7)
DFT (PBE) results for a geometry-optimized BaSb2Br structure.

For the mass density, the calculation gives 5.5 g/cm3. The value obtained for the formation energy (no corrections) is -0.56 eV per atom. The energy above the most stable polymorph in this dataset comes out at 0.362 eV/atom.

The space group is Pmmm (No. 47) and the conventional cell measures 3.6302, 6.0107 and 6.3693 Å, with angles of 90.00, 90.00 and 90.00 degrees. The asymmetric unit holds Ba at (0.0000, 0.0000, 0.0000), Sb at (0.5000, 0.5000, 0.2226) and Br at (0.0000, 0.0000, 0.5000).

(8)
DFT (PBE) results for a geometry-optimized BaCBr3 structure.

For the mass density, the calculation gives 5.1 g/cm3. The value obtained for the formation energy (no corrections) is -0.20 eV per atom.

The space group is Pm-3m (No. 221) and the conventional cell measures 5.0311, 5.0311 and 5.0311 Å, with angles of 90.00, 90.00 and 90.00 degrees. The asymmetric unit holds Ba at (0.0000, 0.0000, 0.0000), C at (0.5000, 0.5000, 0.5000) and Br at (0.0000, 0.5000, 0.5000).

(9)
DFT (PBE) results for a geometry-optimized Nd3SmTh2 structure.

For the mass density, the calculation gives 8.5 g/cm3. For the formation energy, the calculation gives 0.07 eV per atom.

The space group is Cmmm (No. 65) and the conventional cell measures 5.1223, 15.3664 and 5.1729 Å, with angles of 90.00, 90.00 and 90.00 degrees. The asymmetric unit holds Nd at (0.0000, 0.0000, 0.0000), Nd at (0.0000, 0.1693, 0.5000), Sm at (0.0000, 0.5000, 0.5000) and Th at (0.0000, 0.3310, 0.0000).

(10)
DFT (PBE) results for a geometry-optimized MnRe2 structure.

For the mass density, the calculation gives 17.2 g/cm3. For the formation energy, the calculation gives 0.00 eV per atom.

The space group is I4/mcm (No. 140) and the conventional cell measures 5.9642, 5.9642 and 4.6400 Å, with angles of 90.00, 90.00 and 90.00 degrees. The asymmetric unit holds Mn at (0.0000, 0.0000, 0.2500) and Re at (0.1514, 0.3486, 0.0000).

(11)
DFT (PBE) results for a geometry-optimized Sr2CoHg structure.

For the mass density, the calculation gives 6.4 g/cm3. For the formation energy, the calculation gives 0.08 eV per atom.

The space group is P4/mmm (No. 123) and the conventional cell measures 3.8030, 3.8030 and 7.7867 Å, with angles of 90.00, 90.00 and 90.00 degrees. The asymmetric unit holds Sr at (0.0000, 0.0000, 0.2265), Co at (0.5000, 0.5000, 0.0000) and Hg at (0.5000, 0.5000, 0.5000).

(12)
DFT (PBE) results for a geometry-optimized CeTh2CrN5 structure.

For the mass density, the calculation gives 9.2 g/cm3. The value obtained for the formation energy (no corrections) is -1.10 eV per atom.

The space group is P4/mbm (No. 127) and the conventional cell measures 6.7474, 6.7474 and 5.7524 Å, with angles of 90.00, 90.00 and 90.00 degrees. The asymmetric unit holds Ce at (0.0000, 0.0000, 0.0000), Th at (0.1703, 0.3297, 0.5000), Cr at (0.0000, 0.5000, 0.0000), N at (0.0000, 0.0000, 0.5000) and N at (0.1410, 0.6410, 0.2263).

(13)
DFT (PBE) results for a geometry-optimized CuRe2H2 structure.

For the mass density, the calculation gives 15.4 g/cm3. For the total DFT energy (no corrections), the calculation gives -6.746 eV per atom.

The space group is I4/mmm (No. 139) and the conventional cell measures 3.1472, 3.1472 and 9.5620 Å, with angles of 90.00, 90.00 and 90.00 degrees. The asymmetric unit holds Cu at (0.0000, 0.0000, 0.0000), Re at (0.0000, 0.0000, 0.3535) and H at (0.0000, 0.5000, 0.2500).

(14)
DFT (PBE) results for a geometry-optimized Ac8Hg4Ir3 structure.

For the mass density, the calculation gives 9.1 g/cm3. For the formation energy, the calculation gives -0.47 eV per atom.

The space group is R-3m (No. 166, hexagonal axes) and the conventional cell measures 9.0064, 9.0064 and 24.9488 Å, with angles of 90.00, 90.00 and 120.00 degrees. The asymmetric unit holds Ac at (0.0000, 0.0000, 0.2282), Ac at (0.0311, 0.5155, 0.7663), Hg at (0.0000, 0.0000, 0.0000), Hg at (0.0000, 0.0000, 0.3599), Hg at (0.0000, 0.0000, 0.5000) and Ir at (0.0000, 0.5000, 0.5000).

(15)
DFT (PBE) results for a geometry-optimized Sr2ZnBr structure.

For the mass density, the calculation gives 4.0 g/cm3. The value obtained for the formation energy (no corrections) is -0.72 eV per atom. The energy above the most stable polymorph in this dataset comes out at 0.101 eV/atom.

The space group is Amm2 (No. 38) and the conventional cell measures 5.3058, 3.9814 and 12.7445 Å, with angles of 90.00, 90.00 and 90.00 degrees. The asymmetric unit holds Sr at (0.0000, 0.0000, 0.0000), Sr at (0.5000, 0.0000, 0.2561), Zn at (0.0000, 0.0000, 0.7347) and Br at (0.5000, 0.0000, 0.5074).

(16)
DFT (PBE) results for a geometry-optimized Sr2CdSiAu6 structure.

For the mass density, the calculation gives 10.0 g/cm3. The value obtained for the formation energy (no corrections) is -0.43 eV per atom.

The space group is P-1 (No. 2) and the conventional cell measures 6.6396, 6.6770 and 7.2939 Å, with angles of 89.98, 65.91 and 60.38 degrees. The asymmetric unit holds Sr at (0.0331, 0.2328, 0.1743), Cd at (0.5000, 0.5000, 0.0000), Si at (0.5000, 0.0000, 0.5000), Au at (0.0220, 0.2380, 0.7104), Au at (0.3695, 0.3486, 0.3599) and Au at (0.3757, 0.7782, 0.3565).

(17)
DFT (PBE) results for a geometry-optimized CePrTe3 structure.

For the mass density, the calculation gives 6.6 g/cm3. The value obtained for the formation energy (no corrections) is -1.42 eV per atom. The energy above the most stable polymorph in this dataset comes out at 0.000 eV/atom.

The space group is Pnma (No. 62) and the conventional cell measures 8.4348, 4.4784 and 17.5924 Å, with angles of 90.00, 90.00 and 90.00 degrees. The asymmetric unit holds Ce at (0.2321, 0.2500, 0.0408), Pr at (0.1278, 0.7500, 0.2962), Te at (0.0022, 0.7500, 0.1087), Te at (0.1204, 0.2500, 0.4328) and Te at (0.1578, 0.7500, 0.7170).

(18)
DFT (PBE) results for a geometry-optimized BaPb7 structure.

For the mass density, the calculation gives 10.0 g/cm3. For the formation energy, the calculation gives -0.13 eV per atom.

The space group is Fm-3m (No. 225) and the conventional cell measures 10.1854, 10.1854 and 10.1854 Å, with angles of 90.00, 90.00 and 90.00 degrees. The asymmetric unit holds Ba at (0.0000, 0.0000, 0.0000), Pb at (0.0000, 0.0000, 0.5000) and Pb at (0.0000, 0.2500, 0.2500).

(19)
DFT (PBE) results for a geometry-optimized Ho4Pd2Pt5 structure.

For the mass density, the calculation gives 11.6 g/cm3. For the formation energy, the calculation gives -0.58 eV per atom.

The space group is Fmmm (No. 69) and the conventional cell measures 5.6955, 10.3752 and 17.9057 Å, with angles of 90.00, 90.00 and 90.00 degrees. The asymmetric unit holds Ho at (0.0000, 0.1578, 0.1260), Pd at (0.0000, 0.0000, 0.2547), Pt at (0.0000, 0.0000, 0.0000), Pt at (0.2500, 0.2500, 0.0000) and Pt at (0.2500, 0.2500, 0.2500).

(20)
DFT (PBE) results for a geometry-optimized Th3In3Hg structure.

For the mass density, the calculation gives 10.3 g/cm3. For the formation energy, the calculation gives -0.26 eV per atom.

The space group is C2/m (No. 12) and the conventional cell measures 11.7407, 4.7056 and 15.3453 Å, with angles of 90.00, 108.47 and 90.00 degrees. The asymmetric unit holds Th at (0.0217, 0.0000, 0.3762), Th at (0.1074, 0.0000, 0.9225), Th at (0.2355, 0.0000, 0.2246), In at (0.0124, 0.5000, 0.2257), In at (0.1147, 0.5000, 0.0740), In at (0.1334, 0.5000, 0.5434) and Hg at (0.2322, 0.5000, 0.3828).